# 1
A relaxed structure of Ca3LaCd. Source: Alexandria via LeMat-Bulk, functional PBE.

The distance to the lowest polymorph of the same formula is 703.0 meV per atom.

The structure belongs to space group Pm-3m (No. 221); the cell edges are 5.872, 5.872 and 5.872 Å and the angles 90.00°, 90.00° and 90.00°. The distinct sites, in fractional coordinates, are Ca at (0.000, 0.000, 0.500), La at (0.000, 0.000, 0.000) and Cd at (0.500, 0.500, 0.500).

# 2
A relaxed structure of Y2TaPb. Source: Alexandria via LeMat-Bulk, functional PBE.

The structure belongs to space group R-3m (No. 166, hexagonal axes); the cell edges are 3.4112, 3.4112 and 31.4641 Å and the angles 90.00°, 90.00° and 120.00°. The distinct sites, in fractional coordinates, are Y at (0.0000, 0.0000, 0.2455), Ta at (0.0000, 0.0000, 0.5000) and Pb at (0.0000, 0.0000, 0.0000).

# 3
A relaxed structure of SrLi7Pd5. Source: Alexandria via LeMat-Bulk, functional PBE.

The structure belongs to space group Imm2 (No. 44); the cell edges are 5.474, 9.146 and 8.784 Å and the angles 90.00°, 90.00° and 90.00°. The distinct sites, in fractional coordinates, are Sr at (0.000, 0.000, 0.000), Li at (0.000, 0.000, 0.336), Li at (0.000, 0.000, 0.650), Li at (0.000, 0.284, 0.495), Li at (0.000, 0.350, 0.981), Li at (0.000, 0.500, 0.259), Pd at (0.000, 0.500, 0.717) and Pd at (0.247, 0.258, 0.241).

# 4
A relaxed structure of GaSnC2. Source: Alexandria via LeMat-Bulk, functional PBE.

The distance to the lowest polymorph of the same formula is 0.0 meV per atom.

The structure belongs to space group I-42d (No. 122); the cell edges are 4.904, 4.904 and 9.739 Å and the angles 90.00°, 90.00° and 90.00°. The distinct sites, in fractional coordinates, are Ga at (0.000, 0.000, 0.000), Sn at (0.000, 0.000, 0.500) and C at (0.227, 0.250, 0.125).

Number 1: E_form 82.4 kJ/mol of atoms. Number 2: E_form 14.6 kJ/mol of atoms. Number 3: E_form -39.6 kJ/mol of atoms. Number 4: E_form 86.2 kJ/mol of atoms.